# As2SeIO (PBE, relaxed)
# Energy: -10.5 eV/cell
# Symmetry: No. 123
# E_form (uncorrected): 1.7577 eV/atom
# Offset from the most stable computed form: 1336 meV/atom
data_As2SeIO
_chemical_formula_sum 'As2 Se1 I1 O1'
_symmetry_space_group_name_H-M 'P 1'
_symmetry_Int_Tables_number 1
_cell_length_a 5.4562
_cell_length_b 5.4562
_cell_length_c 5.2520
_cell_angle_alpha 90.00
_cell_angle_beta 90.00
_cell_angle_gamma 90.00
loop_
_symmetry_equiv_pos_as_xyz
'x,y,z'
loop_
_atom_site_label
_atom_site_fract_x
_atom_site_fract_y
_atom_site_fract_z
As1 0.0000 0.5000 0.0000
Se1 0.0000 0.0000 0.5000
I1 0.0000 0.0000 0.0000
O1 0.5000 0.5000 0.5000
As2 0.5000 0.0000 0.0000